# 1
Compound: Cs2PtN
Source: the Alexandria database
Functional: GGA-PBEsol
Structure: relaxed

Geometry as CIF:
```
data_Cs2PtN
_chemical_formula_sum 'Cs8 Pt4 N4'
_space_group_name_H-M_alt 'P 1'
_space_group_IT_number 1
_space_group_name_Hall 'P 1'
_cell_length_a 12.761
_cell_length_b 12.761
_cell_length_c 3.734
_cell_angle_alpha 90.00
_cell_angle_beta 90.00
_cell_angle_gamma 90.00
loop_
_atom_site_label
_atom_site_type_symbol
_atom_site_fract_x
_atom_site_fract_y
_atom_site_fract_z
_atom_site_occupancy
Cs1 Cs 0.010 0.750 0.125 1
Cs2 Cs 0.250 0.010 0.875 1
Cs3 Cs 0.250 0.490 0.375 1
Cs4 Cs 0.490 0.750 0.625 1
Cs5 Cs 0.510 0.250 0.625 1
Cs6 Cs 0.750 0.510 0.375 1
Cs7 Cs 0.750 0.990 0.875 1
Cs8 Cs 0.990 0.250 0.125 1
Pt1 Pt 0.000 0.000 0.500 1
Pt2 Pt 0.000 0.500 0.750 1
Pt3 Pt 0.500 0.000 0.250 1
Pt4 Pt 0.500 0.500 0.000 1
N1 N 0.000 0.000 0.000 1
N2 N 0.000 0.500 0.250 1
N3 N 0.500 0.000 0.750 1
N4 N 0.500 0.500 0.500 1
```

DOS at the Fermi energy	2.3	states/eV/f.u.
calculated density	5.19	g/cm³
final energy	-4.499	eV per atom
ΔE_f (raw)	-0.155	eV/atom

# 2
Compound: Mn2Co
Source: the Alexandria database
Functional: GGA-PBEsol
Structure: relaxed

Geometry as CIF:
```
data_Mn2Co
_chemical_formula_sum 'Mn4 Co2'
_space_group_name_H-M_alt 'P 1'
_space_group_IT_number 1
_space_group_name_Hall 'P 1'
_cell_length_a 3.857
_cell_length_b 3.857
_cell_length_c 4.823
_cell_angle_alpha 90.00
_cell_angle_beta 90.00
_cell_angle_gamma 120.00
loop_
_atom_site_label
_atom_site_type_symbol
_atom_site_fract_x
_atom_site_fract_y
_atom_site_fract_z
_atom_site_occupancy
Mn1 Mn 0.000 0.000 0.000 1
Mn2 Mn 0.000 0.000 0.500 1
Mn3 Mn 0.333 0.667 0.250 1
Mn4 Mn 0.667 0.333 0.750 1
Co1 Co 0.333 0.667 0.750 1
Co2 Co 0.667 0.333 0.250 1
```

DOS at the Fermi energy	3.3	states/eV/f.u.
calculated density	9.02	g/cm³
final energy	-8.991	eV per atom
ΔE_f	0.096	eV per atom

# 3
Compound: K2SbOs
Source: the Alexandria database
Functional: GGA-PBEsol
Structure: relaxed

Geometry as CIF:
```
data_K2SbOs
_chemical_formula_sum 'K6 Sb3 Os3'
_space_group_name_H-M_alt 'P 1'
_space_group_IT_number 1
_space_group_name_Hall 'P 1'
_cell_length_a 3.051
_cell_length_b 3.051
_cell_length_c 34.509
_cell_angle_alpha 90.00
_cell_angle_beta 90.00
_cell_angle_gamma 120.00
loop_
_atom_site_label
_atom_site_type_symbol
_atom_site_fract_x
_atom_site_fract_y
_atom_site_fract_z
_atom_site_occupancy
K1 K 0.000 0.000 0.246 1
K2 K 0.000 0.000 0.754 1
K3 K 0.333 0.667 0.421 1
K4 K 0.333 0.667 0.912 1
K5 K 0.667 0.333 0.088 1
K6 K 0.667 0.333 0.579 1
Sb1 Sb 0.000 0.000 0.000 1
Sb2 Sb 0.333 0.667 0.667 1
Sb3 Sb 0.667 0.333 0.333 1
Os1 Os 0.000 0.000 0.500 1
Os2 Os 0.333 0.667 0.167 1
Os3 Os 0.667 0.333 0.833 1
```

DOS at the Fermi energy	3.0	states/eV/f.u.
calculated density	6.99	g/cm³
final energy	-3.822	eV per atom
ΔE_f (raw)	0.938	eV/atom

# 4
Compound: MgHgPt2
Source: the Alexandria database
Functional: GGA-PBEsol
Structure: relaxed

Geometry as CIF:
```
data_MgHgPt2
_chemical_formula_sum 'Mg1 Hg1 Pt2'
_space_group_name_H-M_alt 'P 1'
_space_group_IT_number 1
_space_group_name_Hall 'P 1'
_cell_length_a 2.959
_cell_length_b 4.639
_cell_length_c 4.808
_cell_angle_alpha 90.00
_cell_angle_beta 90.00
_cell_angle_gamma 90.00
loop_
_atom_site_label
_atom_site_type_symbol
_atom_site_fract_x
_atom_site_fract_y
_atom_site_fract_z
_atom_site_occupancy
Mg1 Mg 0.000 0.000 0.000 1
Hg1 Hg 0.000 0.500 0.388 1
Pt1 Pt 0.500 0.000 0.516 1
Pt2 Pt 0.500 0.500 0.888 1
```

DOS at the Fermi energy	1.1	states/eV/f.u.
calculated density	15.48	g/cm³
final energy	-4.436	eV per atom
ΔE_f	-0.383	eV per atom

# 5
Compound: BeAl2Ru
Source: the Alexandria database
Functional: GGA-PBEsol
Structure: relaxed

Geometry as CIF:
```
data_BeAl2Ru
_chemical_formula_sum 'Be1 Al2 Ru1'
_space_group_name_H-M_alt 'P 1'
_space_group_IT_number 1
_space_group_name_Hall 'P 1'
_cell_length_a 3.093
_cell_length_b 3.093
_cell_length_c 5.329
_cell_angle_alpha 90.00
_cell_angle_beta 90.00
_cell_angle_gamma 90.00
loop_
_atom_site_label
_atom_site_type_symbol
_atom_site_fract_x
_atom_site_fract_y
_atom_site_fract_z
_atom_site_occupancy
Be1 Be 0.000 0.000 0.000 1
Al1 Al 0.000 0.000 0.455 1
Al2 Al 0.500 0.500 0.754 1
Ru1 Ru 0.500 0.500 0.216 1
```

DOS at the Fermi energy	1.0	states/eV/f.u.
calculated density	5.34	g/cm³
final energy	-5.933	eV per atom
ΔE_f	-0.344	eV per atom

# 6
Compound: Sr5Sb3
Source: the Alexandria database
Functional: GGA-PBEsol
Structure: relaxed

Geometry as CIF:
```
data_Sr5Sb3
_chemical_formula_sum 'Sr10 Sb6'
_space_group_name_H-M_alt 'P 1'
_space_group_IT_number 1
_space_group_name_Hall 'P 1'
_cell_length_a 9.471
_cell_length_b 9.471
_cell_length_c 7.283
_cell_angle_alpha 90.00
_cell_angle_beta 90.00
_cell_angle_gamma 120.00
loop_
_atom_site_label
_atom_site_type_symbol
_atom_site_fract_x
_atom_site_fract_y
_atom_site_fract_z
_atom_site_occupancy
Sr1 Sr 0.000 0.254 0.250 1
Sr2 Sr 0.000 0.746 0.750 1
Sr3 Sr 0.254 0.000 0.250 1
Sr4 Sr 0.254 0.254 0.750 1
Sr5 Sr 0.333 0.667 0.000 1
Sr6 Sr 0.333 0.667 0.500 1
Sr7 Sr 0.667 0.333 0.000 1
Sr8 Sr 0.667 0.333 0.500 1
Sr9 Sr 0.746 0.000 0.750 1
Sr10 Sr 0.746 0.746 0.250 1
Sb1 Sb 0.000 0.390 0.750 1
Sb2 Sb 0.000 0.610 0.250 1
Sb3 Sb 0.390 0.000 0.750 1
Sb4 Sb 0.390 0.390 0.250 1
Sb5 Sb 0.610 0.000 0.250 1
Sb6 Sb 0.610 0.610 0.750 1
```

DOS at the Fermi energy	1.0	states/eV/f.u.
calculated density	4.72	g/cm³
energy relative to the lowest polymorph listed for this composition	0	meV per atom
final energy	-3.881	eV per atom
ΔE_f (raw)	-1.022	eV/atom

# 7
Compound: TaFeSb2
Source: the Alexandria database
Functional: GGA-PBEsol
Structure: relaxed

Geometry as CIF:
```
data_TaFeSb2
_chemical_formula_sum 'Ta2 Fe2 Sb4'
_space_group_name_H-M_alt 'P 1'
_space_group_IT_number 1
_space_group_name_Hall 'P 1'
_cell_length_a 9.820
_cell_length_b 3.120
_cell_length_c 5.082
_cell_angle_alpha 90.00
_cell_angle_beta 111.57
_cell_angle_gamma 90.00
loop_
_atom_site_label
_atom_site_type_symbol
_atom_site_fract_x
_atom_site_fract_y
_atom_site_fract_z
_atom_site_occupancy
Ta1 Ta 0.000 0.000 0.000 1
Ta2 Ta 0.500 0.500 0.000 1
Fe1 Fe 0.299 0.000 0.632 1
Fe2 Fe 0.799 0.500 0.632 1
Sb1 Sb 0.061 0.500 0.541 1
Sb2 Sb 0.268 0.500 0.187 1
Sb3 Sb 0.561 0.000 0.541 1
Sb4 Sb 0.768 0.000 0.187 1
```

DOS at the Fermi energy	2.2	states/eV/f.u.
calculated density	11.01	g/cm³
final energy	-7.458	eV per atom
ΔE_f (raw)	0.200	eV/atom

# 8
Compound: Sc2ReW
Source: the Alexandria database
Functional: GGA-PBEsol
Structure: relaxed

Geometry as CIF:
```
data_Sc2ReW
_chemical_formula_sum 'Sc2 Re1 W1'
_space_group_name_H-M_alt 'P 1'
_space_group_IT_number 1
_space_group_name_Hall 'P 1'
_cell_length_a 4.455
_cell_length_b 4.455
_cell_length_c 3.442
_cell_angle_alpha 90.00
_cell_angle_beta 90.00
_cell_angle_gamma 90.00
loop_
_atom_site_label
_atom_site_type_symbol
_atom_site_fract_x
_atom_site_fract_y
_atom_site_fract_z
_atom_site_occupancy
Sc1 Sc 0.000 0.500 0.000 1
Sc2 Sc 0.500 0.000 0.000 1
Re1 Re 0.000 0.000 0.500 1
W1 W 0.500 0.500 0.500 1
```

DOS at the Fermi energy	6.2	states/eV/f.u.
calculated density	11.18	g/cm³
energy relative to the lowest polymorph listed for this composition	455	meV per atom
final energy	-9.678	eV per atom
ΔE_f	0.409	eV per atom